The following is a DFT calculation (PBE-GGA) of a relaxed structure of CeMnZnPt3.

Results
E_form   -2.1 eV/f.u.
N(E_F)   1.271 states/eV per atom
Total magnetization   9.80 μB per cell
Space-group type   Cmcm

Cell: 5.587 5.602 8.723 Å, 108.73 90.00 90.00°
Last column: magnetic moment on the atom in μB.
Positions (direct):
1 Ce 0.750 0.290 0.580  0.62
2 Ce 0.250 0.710 0.420  0.62
3 Mn 0.250 0.096 0.191  3.71
4 Mn 0.750 0.904 0.809  3.71
5 Zn 0.250 0.400 0.799  -0.01
6 Zn 0.750 0.600 0.201  -0.01
7 Pt 0.250 0.249 0.497  0.01
8 Pt 0.000 0.254 0.000  0.12
9 Pt 0.500 0.746 0.000  0.12
10 Pt 0.500 0.254 0.000  0.12
11 Pt 0.000 0.746 0.000  0.12
12 Pt 0.750 0.751 0.503  0.01

The following is a DFT calculation (PBE-GGA) of a relaxed structure of CePuMn.

Results
E_form   0.4 eV/f.u.
N(E_F)   1.828 states/eV per atom
Total magnetization   3.53 μB per cell
Polymorph energy (0 for the lowest one)   0.045 eV per atom
Space-group type   P3m1

Cell: 3.139 4.796 4.796 Å, 120.00 90.00 90.00°
Last column: magnetic moment on the atom in μB.
Positions (direct):
1 Mn 0.947 0.000 0.000  -2.96
2 Ce 0.392 0.333 0.667  0.82
3 Pu 0.661 0.667 0.333  5.42

The following is a DFT calculation (PBE-GGA) of a relaxed structure of Ce2PuMn2.

Results
E_form   0.1 eV/f.u.
N(E_F)   1.855 states/eV per atom
Total magnetization   5.81 μB per cell
Space-group type   C2/c

Cell: 5.509 5.509 7.558 Å, 83.58 83.58 62.97°
Last column: magnetic moment on the atom in μB.
Positions (direct):
1 Ce 0.466 0.235 0.155  0.54
2 Ce 0.765 0.534 0.345  0.54
3 Ce 0.534 0.765 0.845  0.54
4 Ce 0.235 0.466 0.655  0.54
5 Pu 0.142 0.858 0.250  4.48
6 Pu 0.858 0.142 0.750  4.48
7 Mn 0.758 0.996 0.507  -1.50
8 Mn 0.004 0.242 0.993  -1.50
9 Mn 0.242 0.004 0.493  -1.50
10 Mn 0.996 0.758 0.007  -1.50

The following is a DFT calculation (PBE-GGA) of a relaxed structure of Ce4PuMn.

Results
E_form   0.5 eV/f.u.
N(E_F)   1.866 states/eV per atom
Total magnetization   24.68 μB per cell
Space-group type   P2_1/c

Cell: 9.630 6.543 9.081 Å, 90.00 90.00 92.35°
Last column: magnetic moment on the atom in μB.
Positions (direct):
1 Ce 0.516 0.000 0.822  -0.02
2 Ce 0.835 0.067 0.638  0.41
3 Ce 0.860 0.998 0.262  0.26
4 Ce 0.397 0.215 0.560  0.28
5 Ce 0.640 0.502 0.762  0.26
6 Ce 0.103 0.285 0.060  0.28
7 Ce 0.665 0.433 0.138  0.41
8 Ce 0.984 0.500 0.322  -0.02
9 Ce 0.016 0.500 0.678  -0.02
10 Ce 0.335 0.567 0.862  0.41
11 Ce 0.897 0.715 0.940  0.28
12 Ce 0.360 0.498 0.238  0.26
13 Ce 0.603 0.785 0.440  0.28
14 Ce 0.140 0.002 0.738  0.26
15 Ce 0.165 0.933 0.362  0.41
16 Ce 0.484 0.000 0.178  -0.02
17 Pu 0.843 0.157 0.995  5.04
18 Pu 0.657 0.343 0.495  5.04
19 Pu 0.343 0.657 0.505  5.04
20 Pu 0.157 0.843 0.005  5.04
21 Mn 0.385 0.238 0.933  -0.09
22 Mn 0.115 0.262 0.433  -0.09
23 Mn 0.885 0.738 0.567  -0.09
24 Mn 0.615 0.762 0.067  -0.09

The following is a DFT calculation (PBE-GGA) of a relaxed structure of CePuMn3.

Results
E_form   0.6 eV/f.u.
N(E_F)   1.383 states/eV per atom
Total magnetization   0.02 μB per cell
Space-group type   C2/c

Cell: 5.398 8.953 6.487 Å, 133.64 119.95 90.00°
Last column: magnetic moment on the atom in μB.
Positions (direct):
1 Ce 0.250 0.225 0.500  0.61
2 Ce 0.750 0.775 0.500  0.61
3 Pu 0.000 0.500 0.000  4.43
4 Pu 0.500 0.000 0.000  4.43
5 Mn 0.909 0.346 0.165  -1.88
6 Mn 0.409 0.319 0.165  -1.88
7 Mn 0.591 0.681 0.835  -1.88
8 Mn 0.091 0.654 0.835  -1.88
9 Mn 0.250 0.945 0.500  -1.44
10 Mn 0.750 0.055 0.500  -1.44

The following is a DFT calculation (PBE-GGA) of a relaxed structure of CePuMn.

Results
E_form   0.2 eV/f.u.
N(E_F)   2.248 states/eV per atom
Total magnetization   3.12 μB per cell
Polymorph energy (0 for the lowest one)   0.000 eV per atom
Space-group type   I4mm

Cell: 3.542 3.542 5.501 Å, 108.78 108.78 90.00°
Last column: magnetic moment on the atom in μB.
Positions (direct):
1 Mn 0.679 0.679 0.359  -2.71
2 Ce 0.000 0.000 0.001  0.53
3 Pu 0.320 0.320 0.640  5.10

Which of these has the highest N(E_F)? number 6